Record 1
Hf4MnRh3 after structural relaxation. Source: Alexandria via LeMat-Bulk, functional PBE.

Properties
Symmetry: P4/mmm, No. 123
DOS at the Fermi energy (states/eV/atom): 0.558
DFT formation energy (eV/atom): -0.73

Unit cell a=3.2632 b=3.2632 c=12.7823 alpha=90.00 beta=90.00 gamma=90.00
Positions (direct):
1 Mn 0.5000 0.5000 0.0000
2 Hf 0.0000 0.0000 0.6271
3 Hf 0.0000 0.0000 0.1183
4 Hf 0.0000 0.0000 0.3729
5 Hf 0.0000 0.0000 0.8817
6 Rh 0.5000 0.5000 0.7494
7 Rh 0.5000 0.5000 0.5000
8 Rh 0.5000 0.5000 0.2506

***

Record 2
HfMnRh2 after structural relaxation. Source: Alexandria via LeMat-Bulk, functional PBE.

Properties
Symmetry: Fm-3m, No. 225
DOS at the Fermi energy (states/eV/atom): 0.235
DFT formation energy (eV/atom): -0.66

Unit cell a=4.4726 b=4.4726 c=4.4726 alpha=60.00 beta=60.00 gamma=60.00
Positions (direct):
1 Mn 0.0000 0.0000 0.0000
2 Rh 0.2500 0.2500 0.2500
3 Rh 0.7500 0.7500 0.7500
4 Hf 0.5000 0.5000 0.5000

***

Record 3
Hf2MnRh after structural relaxation. Source: Alexandria via LeMat-Bulk, functional PBE.

Properties
Symmetry: Fm-3m, No. 225
DOS at the Fermi energy (states/eV/atom): 0.312
Energy above the most stable polymorph in this dataset (meV per atom): 50
DFT formation energy (eV/atom): -0.55

Unit cell a=4.5406 b=4.5406 c=4.5406 alpha=60.00 beta=60.00 gamma=60.00
Positions (direct):
1 Hf 0.7500 0.7500 0.7500
2 Hf 0.2500 0.2500 0.2500
3 Mn 0.0000 0.0000 0.0000
4 Rh 0.5000 0.5000 0.5000

***

Record 4
HfMn3Rh4 after structural relaxation. Source: Alexandria via LeMat-Bulk, functional PBE.

Properties
Symmetry: Im-3m, No. 229
DOS at the Fermi energy (states/eV/atom): 0.714
DFT formation energy (eV/atom): -0.43

Unit cell a=5.3845 b=5.3845 c=5.3845 alpha=109.47 beta=109.47 gamma=109.47
Positions (direct):
1 Rh 0.0000 0.4999 0.0000
2 Rh 0.5001 0.5001 0.5001
3 Rh 0.0000 0.0000 0.4999
4 Rh 0.4999 0.0000 0.0000
5 Mn 0.5000 0.5000 0.0000
6 Mn 0.5000 0.0000 0.5000
7 Mn 0.0000 0.5000 0.5000
8 Hf 0.0000 0.0000 0.0000

***

Record 5
Hf2MnRh after structural relaxation. Source: Alexandria via LeMat-Bulk, functional PBE.

Properties
Symmetry: P4/mmm, No. 123
DOS at the Fermi energy (states/eV/atom): 0.408
Energy above the most stable polymorph in this dataset (meV per atom): 0
DFT formation energy (eV/atom): -0.60

Unit cell a=3.2061 b=3.2061 c=6.4109 alpha=90.00 beta=90.00 gamma=90.00
Positions (direct):
1 Rh 0.5000 0.5000 0.5000
2 Hf 0.0000 0.0000 0.7616
3 Hf 0.0000 0.0000 0.2384
4 Mn 0.5000 0.5000 0.0000

***

Record 6
Hf2MnRh after structural relaxation. Source: Alexandria via LeMat-Bulk, functional PBE.

Properties
Symmetry: I-42d, No. 122
DOS at the Fermi energy (states/eV/atom): 1.002
Energy above the most stable polymorph in this dataset (meV per atom): 895
DFT formation energy (eV/atom): 0.30

Unit cell a=4.1353 b=4.1353 c=9.5141 alpha=77.45 beta=77.45 gamma=90.00
Positions (direct):
1 Rh 0.7500 0.2500 0.5000
2 Rh 0.0000 0.0000 0.0000
3 Mn 0.5000 0.5000 0.0000
4 Mn 0.2500 0.7500 0.5000
5 Hf 0.6255 0.1250 0.2500
6 Hf 0.8750 0.8755 0.7500
7 Hf 0.3750 0.3745 0.7500
8 Hf 0.1245 0.6250 0.2500

***

Record 7
HfMn2Rh after structural relaxation. Source: Alexandria via LeMat-Bulk, functional PBE.

Properties
Symmetry: I-42d, No. 122
DOS at the Fermi energy (states/eV/atom): 1.772
DFT formation energy (eV/atom): 0.30

Unit cell a=3.6284 b=3.6284 c=9.9425 alpha=79.49 beta=79.49 gamma=90.00
Positions (direct):
1 Hf 0.0000 0.0000 0.0000
2 Hf 0.7500 0.2500 0.5000
3 Mn 0.5344 0.1250 0.2500
4 Mn 0.2156 0.6250 0.2500
5 Mn 0.3750 0.4656 0.7500
6 Mn 0.8750 0.7844 0.7500
7 Rh 0.5000 0.5000 0.0000
8 Rh 0.2500 0.7500 0.5000

***

Record 8
HfTaMnRh after structural relaxation. Source: Alexandria via LeMat-Bulk, functional PBE.

Properties
Symmetry: F-43m, No. 216
DOS at the Fermi energy (states/eV/atom): 1.000
DFT formation energy (eV/atom): -0.38

Unit cell a=4.4836 b=4.4836 c=4.4836 alpha=60.00 beta=60.00 gamma=60.00
Positions (direct):
1 Rh 0.7500 0.7500 0.7500
2 Mn 0.2500 0.2500 0.2500
3 Ta 0.0000 0.0000 0.0000
4 Hf 0.5000 0.5000 0.5000

***

Record 9
HfTiMnRh after structural relaxation. Source: Alexandria via LeMat-Bulk, functional PBE.

Properties
Symmetry: P4mm, No. 99
DOS at the Fermi energy (states/eV/atom): 0.372
DFT formation energy (eV/atom): -0.58

Unit cell a=3.1168 b=3.1168 c=6.2777 alpha=90.00 beta=90.00 gamma=90.00
Positions (direct):
1 Ti 0.0000 0.0000 0.8723
2 Rh 0.5000 0.5000 0.6174
3 Mn 0.5000 0.5000 0.0931
4 Hf 0.0000 0.0000 0.3452

***

Record 10
HfMnVRh after structural relaxation. Source: Alexandria via LeMat-Bulk, functional PBE.

Properties
Symmetry: F-43m, No. 216
DOS at the Fermi energy (states/eV/atom): 1.090
DFT formation energy (eV/atom): -0.29

Unit cell a=4.3787 b=4.3787 c=4.3787 alpha=60.00 beta=60.00 gamma=60.00
Positions (direct):
1 Hf 0.7500 0.7500 0.7500
2 Mn 0.5000 0.5000 0.5000
3 V 0.2500 0.2500 0.2500
4 Rh 0.0000 0.0000 0.0000

***

Record 11
HfZrMnRh after structural relaxation. Source: Alexandria via LeMat-Bulk, functional PBE.

Properties
Symmetry: P4mm, No. 99
DOS at the Fermi energy (states/eV/atom): 0.331
DFT formation energy (eV/atom): -0.53

Unit cell a=3.2233 b=3.2233 c=6.4477 alpha=90.00 beta=90.00 gamma=90.00
Positions (direct):
1 Hf 0.5000 0.5000 0.1168
2 Zr 0.5000 0.5000 0.5948
3 Mn 0.0000 0.0000 0.3544
4 Rh 0.0000 0.0000 0.8620

***

Record 12
HfMn3Ru after structural relaxation. Source: Alexandria via LeMat-Bulk, functional PBE.

Properties
Symmetry: Pm-3m, No. 221
DOS at the Fermi energy (states/eV/atom): 1.098
Energy above the most stable polymorph in this dataset (meV per atom): 0
DFT formation energy (eV/atom): 1.01

Unit cell a=4.5150 b=4.5150 c=4.5150 alpha=90.00 beta=90.00 gamma=90.00
Positions (direct):
1 Hf 0.5000 0.5000 0.5000
2 Mn 0.0000 0.5000 0.0000
3 Mn 0.0000 0.0000 0.5000
4 Mn 0.5000 0.0000 0.0000
5 Ru 0.0000 0.0000 0.0000

***

> Number 9 is which compound?

HfTiMnRh